[1]
Material: LuTlAg4
Method: DFT, PBE-GGA
State: relaxed

Calculated values
**Crystal system**: cubic
**VASP energy**: -3.181 eV/atom
**SG**: F-43m, No. 216
**Energy of formation from the pure elements**: -0.80 eV per formula unit

a b c (Å): 5.6019 5.6019 5.6019
angles (deg): 60.00 60.00 60.00
Atoms (fractional coordinates):
Tl: 0.0000 0.0000 0.0000
Lu: 0.2500 0.2500 0.2500
Ag: 0.6248 0.6248 0.1257
Ag: 0.6248 0.1257 0.6248
Ag: 0.6248 0.6248 0.6248
Ag: 0.1257 0.6248 0.6248

=====

[2]
Material: Nb2Ga2Ge
Method: DFT, PBE-GGA
State: relaxed

Calculated values
**Crystal system**: tetragonal
**VASP energy**: -6.351 eV/atom
**SG**: P4/mbm, No. 127
**Energy of formation from the pure elements**: -0.95 eV per formula unit

a b c (Å): 6.7937 6.7937 3.9190
angles (deg): 90.00 90.00 90.00
Atoms (fractional coordinates):
Nb: 0.3364 0.8364 0.0000
Nb: 0.8364 0.6636 0.0000
Nb: 0.6636 0.1636 0.0000
Nb: 0.1636 0.3364 0.0000
Ge: 0.0000 0.0000 0.0000
Ge: 0.5000 0.5000 0.0000
Ga: 0.1400 0.6400 0.5000
Ga: 0.6400 0.8600 0.5000
Ga: 0.8600 0.3600 0.5000
Ga: 0.3600 0.1400 0.5000

=====

[3]
Material: Nd2DyHo6Tm3
Method: DFT, PBE-GGA
State: relaxed

Calculated values
**Crystal system**: monoclinic
**VASP energy**: -4.563 eV/atom
**SG**: C2/m, No. 12
**Energy of formation from the pure elements**: 0.26 eV per formula unit

a b c (Å): 6.1345 6.1345 11.7301
angles (deg): 94.99 94.99 119.95
Atoms (fractional coordinates):
Nd: 0.3333 0.6667 0.0000
Nd: 0.6667 0.3333 0.0000
Dy: 0.0000 0.0000 0.0000
Ho: 0.9146 0.5819 0.7460
Ho: 0.7529 0.7529 0.2542
Ho: 0.0854 0.4181 0.2540
Ho: 0.5819 0.9146 0.7460
Ho: 0.2471 0.2471 0.7458
Ho: 0.4181 0.0854 0.2540
Tm: 0.1664 0.8336 0.5000
Tm: 0.8336 0.1664 0.5000
Tm: 0.5000 0.5000 0.5000

=====

[4]
Material: PuMgCdGa
Method: DFT, PBE-GGA
State: relaxed

Calculated values
**Crystal system**: cubic
**VASP energy**: -5.133 eV/atom
**SG**: F-43m, No. 216
**Energy of formation from the pure elements**: -0.66 eV per formula unit

a b c (Å): 5.0327 5.0327 5.0327
angles (deg): 60.00 60.00 60.00
Atoms (fractional coordinates):
Mg: 0.0000 0.0000 0.0000
Cd: 0.7500 0.7500 0.7500
Ga: 0.2500 0.2500 0.2500
Pu: 0.5000 0.5000 0.5000

=====

[5]
Material: PrTlPbBr6
Method: DFT, PBE-GGA
State: relaxed

Calculated values
**Crystal system**: trigonal
**Formation energy (no corrections)**: -12.11 eV/f.u.
**VASP energy**: -3.667 eV/atom
**SG**: P-31c, No. 163

a b c (Å): 7.7655 7.7655 14.2707
angles (deg): 90.00 90.00 120.00
Atoms (fractional coordinates):
Pr: 0.6667 0.3333 0.2500
Pr: 0.3333 0.6667 0.7500
Tl: 0.0000 0.0000 0.0000
Tl: 0.0000 0.0000 0.5000
Pb: 0.3333 0.6667 0.2500
Pb: 0.6667 0.3333 0.7500
Br: 0.6431 0.6311 0.1322
Br: 0.9880 0.3569 0.1322
Br: 0.3569 0.9880 0.6322
Br: 0.0120 0.6431 0.8678
Br: 0.3689 0.3569 0.3678
Br: 0.9880 0.6311 0.3678
Br: 0.6311 0.9880 0.8678
Br: 0.6431 0.0120 0.3678
Br: 0.0120 0.3689 0.6322
Br: 0.3689 0.0120 0.1322
Br: 0.6311 0.6431 0.6322
Br: 0.3569 0.3689 0.8678

=====

[6]
Material: ZrAlOs2
Method: DFT, PBE-GGA
State: relaxed

Calculated values
**Crystal system**: tetragonal
**VASP energy**: -8.905 eV/atom
**SG**: P4mm, No. 99
**Energy of formation from the pure elements**: -0.87 eV per formula unit

a b c (Å): 2.8653 2.8653 8.0079
angles (deg): 90.00 90.00 90.00
Atoms (fractional coordinates):
Os: 0.0000 0.0000 0.0046
Os: 0.5000 0.5000 0.2129
Al: 0.5000 0.5000 0.7852
Zr: 0.0000 0.0000 0.4973

=====

[7]
Material: TiAgRu2
Method: DFT, PBE-GGA
State: relaxed

Calculated values
**Crystal system**: cubic
**VASP energy**: -7.204 eV/atom
**SG**: Fm-3m, No. 225
**Energy of formation from the pure elements**: 0.48 eV per formula unit

a b c (Å): 4.4160 4.4160 4.4160
angles (deg): 60.00 60.00 60.00
Atoms (fractional coordinates):
Ru: 0.2500 0.2500 0.2500
Ru: 0.7500 0.7500 0.7500
Ag: 0.5000 0.5000 0.5000
Ti: 0.0000 0.0000 0.0000

=====

[8]
Material: Ac2PmCdSe5
Method: DFT, PBE-GGA
State: relaxed

Calculated values
**Crystal system**: orthorhombic
**Formation energy (no corrections)**: -14.85 eV/f.u.
**VASP energy**: -5.129 eV/atom
**SG**: Cmc2_1, No. 36

a b c (Å): 4.2907 9.4119 13.0103
angles (deg): 90.00 90.00 103.18
Atoms (fractional coordinates):
Ac: 0.8664 0.7329 0.8094
Ac: 0.1170 0.2340 0.6875
Ac: 0.1336 0.2671 0.3094
Ac: 0.8830 0.7660 0.1875
Pm: 0.7997 0.5995 0.5103
Pm: 0.2003 0.4005 0.0103
Cd: 0.5424 0.0848 0.9556
Cd: 0.4576 0.9152 0.4556
Se: 0.3595 0.7191 0.0017
Se: 0.6870 0.3739 0.8520
Se: 0.4938 0.9877 0.7682
Se: 0.2896 0.5792 0.6681
Se: 0.9548 0.9096 0.5710
Se: 0.6405 0.2809 0.5017
Se: 0.3130 0.6261 0.3520
Se: 0.5062 0.0123 0.2682
Se: 0.7104 0.4208 0.1681
Se: 0.0452 0.0904 0.0710